Below is crystalline Ce3Cr5O12 at its relaxed geometry, with properties calculated at the GGA+U level.

- VASP energy: -8.13 eV per atom
- V: 1036 Å³/cell

abc: 11.0390 11.0390 11.0390
angles: 109.47 109.47 109.47
Last column: magnetic moment on the atom in μB.
Positions (direct):
Ce  0.7500  0.3750  0.1250  0.65
Ce  0.8750  0.7500  0.1250  0.65
Ce  0.3750  0.7500  0.6250  0.65
Ce  0.2500  0.1250  0.3750  0.65
Ce  0.8750  0.1250  0.2500  0.65
Ce  0.3750  0.6250  0.2500  0.65
Ce  0.6250  0.3750  0.7500  0.65
Ce  0.1250  0.8750  0.7500  0.65
Ce  0.7500  0.8750  0.6250  0.65
Ce  0.6250  0.2500  0.3750  0.65
Ce  0.1250  0.2500  0.8750  0.65
Ce  0.2500  0.6250  0.8750  0.65
Cr  0.1250  0.3750  0.2500  3.25
Cr  0.0000  0.5000  0.0000  3.12
Cr  0.0000  0.0000  0.0000  3.12
Cr  0.3750  0.2500  0.1250  3.25
Cr  0.5000  0.0000  0.5000  3.12
Cr  0.5000  0.5000  0.0000  3.12
Cr  0.1250  0.7500  0.3750  3.25
Cr  0.7500  0.1250  0.8750  3.25
Cr  0.7500  0.6250  0.3750  3.25
Cr  0.3750  0.1250  0.7500  3.25
Cr  0.6250  0.8750  0.2500  3.25
Cr  0.5000  0.5000  0.5000  3.12
Cr  0.5000  0.0000  0.0000  3.12
Cr  0.0000  0.0000  0.5000  3.12
Cr  0.2500  0.3750  0.6250  3.25
Cr  0.2500  0.8750  0.1250  3.25
Cr  0.0000  0.5000  0.5000  3.12
Cr  0.8750  0.2500  0.6250  3.25
Cr  0.6250  0.7500  0.8750  3.25
Cr  0.8750  0.6250  0.7500  3.25
O  0.7041  0.1284  0.0313  -0.06
O  0.3272  0.5313  0.4029  -0.06
O  0.9687  0.3716  0.2959  -0.06
O  0.5313  0.2041  0.1284  -0.06
O  0.5757  0.7041  0.6728  -0.06
O  0.9687  0.5971  0.1728  -0.06
O  0.3272  0.7959  0.4243  -0.06
O  0.0971  0.9243  0.1284  -0.06
O  0.5971  0.9687  0.6728  -0.06
O  0.7041  0.5757  0.1728  -0.06
O  0.7959  0.4687  0.3716  -0.06
O  0.8272  0.9029  0.0313  -0.06
O  0.1284  0.7041  0.5313  -0.06
O  0.3716  0.4029  0.0757  -0.06
O  0.0757  0.9029  0.3716  -0.06
O  0.4243  0.1284  0.5971  -0.06
O  0.0757  0.1728  0.2041  -0.06
O  0.4687  0.6728  0.0971  -0.06
O  0.8272  0.9243  0.2959  -0.06
O  0.1284  0.4243  0.0971  -0.06
O  0.3716  0.9687  0.7959  -0.06
O  0.5971  0.6284  0.4243  -0.06
O  0.9029  0.8272  0.5313  -0.06
O  0.7959  0.3272  0.9243  -0.06
O  0.4029  0.3716  0.5757  -0.06
O  0.0971  0.1728  0.4687  -0.06
O  0.2041  0.6728  0.0757  -0.06
O  0.1728  0.0757  0.7041  -0.06
O  0.6284  0.0313  0.2041  -0.06
O  0.8716  0.5757  0.9029  -0.06
O  0.5313  0.3272  0.9029  -0.06
O  0.5757  0.8716  0.4029  -0.06
O  0.9243  0.8272  0.7959  -0.06
O  0.9243  0.0971  0.6284  -0.06
O  0.8716  0.2959  0.4687  -0.06
O  0.1728  0.0971  0.9687  -0.06
O  0.6284  0.5971  0.9243  -0.06
O  0.4029  0.0313  0.3272  -0.06
O  0.2959  0.4243  0.8272  -0.06
O  0.2041  0.5313  0.6284  -0.06
O  0.9029  0.0757  0.8716  -0.06
O  0.6728  0.2041  0.5757  -0.06
O  0.4687  0.7959  0.8716  -0.06
O  0.0313  0.4029  0.8272  -0.06
O  0.4243  0.2959  0.3272  -0.06
O  0.0313  0.6284  0.7041  -0.06
O  0.6728  0.4687  0.5971  -0.06
O  0.2959  0.8716  0.9687  -0.06